No. 1
4
Lattice="2.728 0.000 0.000 0.000 2.728 0.000 0.000 0.000 6.901" Properties=species:S:1:pos:R:3 comment="LiNiRu2 (PBE-GGA, optimized geometry)" de_polymorph_mev_per_atom=40 pbc="T T T"
Li 0.000 0.000 0.000
Ni 1.364 1.364 1.568
Ru 0.000 0.000 3.315
Ru 1.364 1.364 5.055

No. 2
4
Lattice="2.615 0.000 0.000 0.000 3.966 0.000 -1.178 0.000 4.881" Properties=species:S:1:pos:R:3 comment="LiNiRu2 (PBE-GGA, optimized geometry)" de_polymorph_mev_per_atom=20 pbc="T T T"
Li 0.000 0.000 0.000
Ni 0.640 1.983 1.007
Ru 0.525 1.983 3.525
Ru 1.869 0.000 2.415

No. 3
4
Lattice="-1.521 2.032 3.962 1.521 -2.032 3.962 1.521 2.032 -3.962" Properties=species:S:1:pos:R:3 comment="LiNiRu2 (PBE-GGA, optimized geometry)" de_polymorph_mev_per_atom=28 pbc="T T T"
Li 0.000 0.000 0.000
Ni 1.521 0.000 1.795
Ru 0.000 0.000 3.835
Ru 0.000 2.032 1.959

No. 4
4
Lattice="3.096 0.000 0.000 0.000 3.096 0.000 0.000 0.000 5.158" Properties=species:S:1:pos:R:3 comment="LiNiRu2 (PBE-GGA, optimized geometry)" de_polymorph_mev_per_atom=196 pbc="T T T"
Li 0.000 0.000 0.000
Ni 0.000 0.000 2.579
Ru 1.548 1.548 1.242
Ru 1.548 1.548 3.916

No. 5
4
Lattice="2.674 0.000 0.000 0.000 3.723 0.000 0.000 0.000 5.152" Properties=species:S:1:pos:R:3 comment="LiNiRu2 (PBE-GGA, optimized geometry)" de_polymorph_mev_per_atom=2 pbc="T T T"
Li 0.000 0.000 0.000
Ni 1.337 1.862 1.120
Ru 0.000 0.000 2.540
Ru 1.337 1.862 3.719

No. 6
4
Lattice="1.371 -2.229 0.000 1.371 2.229 0.000 0.000 0.000 8.814" Properties=species:S:1:pos:R:3 comment="LiNiRu2 (PBE-GGA, optimized geometry)" de_polymorph_mev_per_atom=161 pbc="T T T"
Li 0.000 0.000 0.000
Ni 1.371 0.000 6.695
Ru 0.000 0.000 4.553
Ru 1.371 0.000 2.316

No. 7
4
Lattice="0.000 2.941 2.941 2.941 0.000 2.941 2.941 2.941 0.000" Properties=species:S:1:pos:R:3 comment="LiNiRu2 (PBE-GGA, optimized geometry)" de_polymorph_mev_per_atom=55 pbc="T T T"
Li 0.000 0.000 0.000
Ni 4.412 4.412 4.412
Ru 1.471 1.471 1.471
Ru 2.941 2.941 2.941

No. 8
10
Lattice="6.774 0.000 0.000 0.000 6.774 0.000 0.000 0.000 2.541" Properties=species:S:1:pos:R:3 comment="Li2Ni2Ru (PBE-GGA, optimized geometry)" de_polymorph_mev_per_atom=102 pbc="T T T"
Li 1.167 2.220 0.000
Li 2.220 5.608 0.000
Li 4.554 1.167 0.000
Li 5.608 4.554 0.000
Ni 0.857 4.244 1.271
Ni 2.530 0.857 1.271
Ni 4.244 5.918 1.271
Ni 5.918 2.530 1.271
Ru 0.000 0.000 1.271
Ru 3.387 3.387 1.271

No. 9
10
Lattice="6.634 0.000 0.000 0.000 6.634 0.000 0.000 0.000 2.562" Properties=species:S:1:pos:R:3 comment="Li2Ni2Ru (PBE-GGA, optimized geometry)" de_polymorph_mev_per_atom=0 pbc="T T T"
Li 0.755 2.562 0.000
Li 2.562 5.880 0.000
Li 4.072 0.755 0.000
Li 5.880 4.072 0.000
Ni 1.261 4.579 1.281
Ni 2.056 1.261 1.281
Ni 4.579 5.373 1.281
Ni 5.373 2.056 1.281
Ru 0.000 0.000 0.000
Ru 3.317 3.317 0.000

No. 10
Computed, not measured: a relaxed LiNi4Ru crystal at the PBE-GGA level of DFT.

Cell and atoms, written as extended XYZ:
```
6
Lattice="0.000 3.317 3.317 3.317 0.000 3.317 3.317 3.317 0.000" Properties=species:S:1:pos:R:3 pbc="T T T"
Li 0.000 0.000 0.000
Ni 4.148 2.486 2.486
Ni 2.486 4.148 2.486
Ni 2.486 2.486 4.148
Ni 4.148 4.148 4.148
Ru 1.658 1.658 1.658
```

No. 11
10
Lattice="7.373 0.000 0.000 0.000 7.373 0.000 0.000 0.000 2.550" Properties=species:S:1:pos:R:3 comment="LiNi2Ru2 (PBE-GGA, optimized geometry)" de_polymorph_mev_per_atom=0 pbc="T T T"
Li 0.000 0.000 0.000
Li 3.686 3.686 0.000
Ni 1.298 2.388 1.275
Ni 2.388 6.074 1.275
Ni 4.985 1.298 1.275
Ni 6.074 4.985 1.275
Ru 0.891 4.577 0.000
Ru 2.796 0.891 0.000
Ru 4.577 6.482 0.000
Ru 6.482 2.796 0.000

No. 12
4
Lattice="2.582 0.000 0.000 0.000 4.330 0.000 -0.435 0.000 4.662" Properties=species:S:1:pos:R:3 comment="LiNiRu2 (PBE-GGA, optimized geometry)" de_polymorph_mev_per_atom=117 pbc="T T T"
Li 0.000 0.000 0.000
Ni 1.073 0.000 2.331
Ru 0.398 2.165 3.487
Ru 1.749 2.165 1.175

| no. | DFT total energy (eV/atom) | M_tot (μB per atom) |
| --- | --- | --- |
| 1 | -6.3868 | 0.000 |
| 2 | -6.4067 | 0.000 |
| 3 | -6.3987 | 0.000 |
| 4 | -6.2314 | 0.000 |
| 5 | -6.4252 | 0.000 |
| 6 | -6.2664 | 0.213 |
| 7 | -6.3721 | 0.187 |
| 8 | -4.6470 | 0.000 |
| 9 | -4.7486 | 0.000 |
| 10 | -5.5886 | 0.712 |
| 11 | -6.1676 | 0.000 |
| 12 | -6.3096 | 0.001 |